ZnBF | PBE-GGA | relaxed

Cell lengths 3.121, 4.088, 6.860 Å; angles 105.45, 90.00, 112.44 degrees
Atoms (fractional coordinates):
B1 0.688 0.376 0.539
Zn1 0.664 0.328 0.220
F1 0.315 0.630 0.165
B2 0.192 0.383 0.535
F2 0.536 0.072 0.915
Zn2 0.981 0.962 0.698

Results
Energy relative to the elements, uncorrected, kcal/mol of atoms: -20.42
Symmetry: No. 8
Total moment, Bohr magnetons per cell: 0.00